Entry 1:
First-principles (meta-GGA SCAN) data for a crystal of ZrAlF2 relaxed with PBEsol, as listed in the Alexandria database.

```
data_ZrAlF2
_space_group_name_H-M_alt 'P 1'
_space_group_IT_number 1
_space_group_name_Hall 'P 1'
_cell_length_a 3.6550
_cell_length_b 3.6550
_cell_length_c 5.5003
_cell_angle_alpha 70.59
_cell_angle_beta 70.59
_cell_angle_gamma 60.00
loop_
_atom_site_label
_atom_site_fract_x
_atom_site_fract_y
_atom_site_fract_z
Al1 0.5000 0.5000 0.5000
Zr1 0.0000 0.0000 0.0000
F1 0.8579 0.8579 0.4263
F2 0.1421 0.1421 0.5737
```

Calculated values
- Magnetic moment: 1.0 μB/f.u.
- ΔE_f (raw): -1.6333 eV per atom
- Symmetry: R-3m (166)
- Final energy: -13.0159 eV per atom

Entry 2:
First-principles (meta-GGA SCAN) data for a crystal of IrRu2W relaxed with PBEsol, as listed in the Alexandria database.

```
data_IrRu2W
_space_group_name_H-M_alt 'P 1'
_space_group_IT_number 1
_space_group_name_Hall 'P 1'
_cell_length_a 3.8389
_cell_length_b 3.8389
_cell_length_c 4.6818
_cell_angle_alpha 114.20
_cell_angle_beta 114.20
_cell_angle_gamma 90.00
loop_
_atom_site_label
_atom_site_fract_x
_atom_site_fract_y
_atom_site_fract_z
Ru1 0.7500 0.2500 0.5000
Ru2 0.2500 0.7500 0.5000
Ir1 0.5000 0.5000 0.0000
W1 0.0000 0.0000 0.0000
```

Calculated values
- Formation energy from the elements: -0.120 eV per atom
- Magnetic moment: 0.0 μB/f.u.
- Symmetry: I4/mmm (139)
- Final energy: -52.7299 eV per atom

Entry 3:
First-principles (meta-GGA SCAN) data for a crystal of Li3Sb3P4O16 relaxed with PBEsol, as listed in the Alexandria database.

```
data_Li3Sb3P4O16
_space_group_name_H-M_alt 'P 1'
_space_group_IT_number 1
_space_group_name_Hall 'P 1'
_cell_length_a 6.7931
_cell_length_b 9.0815
_cell_length_c 11.0242
_cell_angle_alpha 90.00
_cell_angle_beta 90.00
_cell_angle_gamma 106.82
loop_
_atom_site_label
_atom_site_fract_x
_atom_site_fract_y
_atom_site_fract_z
Li1 0.3475 0.0803 0.4004
Li2 0.7979 0.0827 0.1108
Li3 0.9150 0.3489 0.8011
Li4 0.0850 0.6511 0.3011
Li5 0.6525 0.9197 0.9004
Li6 0.2021 0.9173 0.6108
Sb1 0.3713 0.2500 0.1213
Sb2 0.9313 0.2846 0.3818
Sb3 0.3562 0.3268 0.6765
Sb4 0.6438 0.6732 0.1765
Sb5 0.6287 0.7500 0.6213
Sb6 0.0687 0.7154 0.8818
P1 0.6584 0.1182 0.6310
P2 0.1080 0.0875 0.8845
P3 0.4729 0.4017 0.4003
P4 0.8775 0.3960 0.0850
P5 0.5271 0.5983 0.9003
P6 0.1225 0.6040 0.5850
P7 0.3416 0.8818 0.1310
P8 0.8920 0.9125 0.3845
O1 0.4569 0.0753 0.5606
O2 0.3185 0.0281 0.2005
O3 0.9157 0.0448 0.9605
O4 0.8657 0.0476 0.3047
O5 0.3103 0.1437 0.9612
O6 0.6568 0.2433 0.7252
O7 0.8530 0.1793 0.5479
O8 0.5996 0.2936 0.3612
O9 0.6684 0.2630 0.0746
O10 0.1090 0.2259 0.8008
O11 0.0240 0.3153 0.1428
O12 0.2529 0.2885 0.4179
O13 0.5298 0.4812 0.7985
O14 0.5442 0.4882 0.5208
O15 0.1505 0.4757 0.6722
O16 0.4558 0.5118 0.0208
O17 0.9438 0.4608 0.9578
O18 0.4702 0.5188 0.2985
O19 0.0562 0.5392 0.4578
O20 0.8495 0.5243 0.1722
O21 0.3316 0.7370 0.5746
O22 0.4004 0.7064 0.8612
O23 0.3432 0.7567 0.2252
O24 0.7471 0.7115 0.9179
O25 0.9760 0.6847 0.6428
O26 0.6897 0.8563 0.4612
O27 0.8910 0.7741 0.3008
O28 0.1470 0.8207 0.0479
O29 0.6815 0.9719 0.7005
O30 0.5431 0.9247 0.0606
O31 0.1343 0.9524 0.8047
O32 0.0843 0.9552 0.4605
```

Calculated values
- Magnetic moment: 0.0 μB/f.u.
- ΔE_f (raw): -2.1837 eV per atom
- Symmetry: P2_1 (4)
- Final energy: -12.1931 eV per atom

Entry 4:
First-principles (meta-GGA SCAN) data for a crystal of Mg2NiW relaxed with PBEsol, as listed in the Alexandria database.

```
data_Mg2NiW
_space_group_name_H-M_alt 'P 1'
_space_group_IT_number 1
_space_group_name_Hall 'P 1'
_cell_length_a 2.7405
_cell_length_b 4.6586
_cell_length_c 5.4603
_cell_angle_alpha 115.25
_cell_angle_beta 104.53
_cell_angle_gamma 90.00
loop_
_atom_site_label
_atom_site_fract_x
_atom_site_fract_y
_atom_site_fract_z
Mg1 0.7788 0.7788 0.5575
Mg2 0.2212 0.2212 0.4425
Ni1 0.5000 0.0000 0.0000
W1 0.0000 0.5000 0.0000
```

Calculated values
- Formation energy from the elements: 0.356 eV per atom
- Magnetic moment: 0.0 μB/f.u.
- Symmetry: Immm (71)
- Final energy: -23.5959 eV per atom

Entry 5:
First-principles (meta-GGA SCAN) data for a crystal of RbAsOs2C relaxed with PBEsol, as listed in the Alexandria database.

```
data_RbAsOs2C
_space_group_name_H-M_alt 'P 1'
_space_group_IT_number 1
_space_group_name_Hall 'P 1'
_cell_length_a 4.6417
_cell_length_b 4.6417
_cell_length_c 4.5656
_cell_angle_alpha 90.00
_cell_angle_beta 90.00
_cell_angle_gamma 90.00
loop_
_atom_site_label
_atom_site_fract_x
_atom_site_fract_y
_atom_site_fract_z
As1 0.0000 0.0000 0.0000
Os1 0.0000 0.5000 0.0000
Os2 0.5000 0.0000 0.0000
C1 0.0000 0.0000 0.5000
Rb1 0.5000 0.5000 0.5000
```

Calculated values
- Formation energy from the elements: 2.324 eV per atom
- Magnetic moment: 2.2 μB/f.u.
- Symmetry: P4/mmm (123)
- Final energy: -36.6335 eV per atom

Entry 6:
First-principles (meta-GGA SCAN) data for a crystal of LiCu2Ni relaxed with PBEsol, as listed in the Alexandria database.

```
data_LiCu2Ni
_space_group_name_H-M_alt 'P 1'
_space_group_IT_number 1
_space_group_name_Hall 'P 1'
_cell_length_a 2.4325
_cell_length_b 2.4325
_cell_length_c 8.2870
_cell_angle_alpha 90.00
_cell_angle_beta 90.00
_cell_angle_gamma 113.02
loop_
_atom_site_label
_atom_site_fract_x
_atom_site_fract_y
_atom_site_fract_z
Ni1 0.5000 0.5000 0.0000
Cu1 0.0000 0.0000 0.2432
Cu2 0.0000 0.0000 0.7568
Li1 0.5000 0.5000 0.5000
```

Calculated values
- Formation energy from the elements: 0.052 eV per atom
- Magnetic moment: 0.0 μB/f.u.
- Symmetry: Cmmm (65)
- Final energy: -12.1880 eV per atom

Entry 7:
First-principles (meta-GGA SCAN) data for a crystal of La3CuGeS7 relaxed with PBEsol, as listed in the Alexandria database.

```
data_La3CuGeS7
_space_group_name_H-M_alt 'P 1'
_space_group_IT_number 1
_space_group_name_Hall 'P 1'
_cell_length_a 5.8144
_cell_length_b 10.2153
_cell_length_c 10.2153
_cell_angle_alpha 120.00
_cell_angle_beta 90.00
_cell_angle_gamma 90.00
loop_
_atom_site_label
_atom_site_fract_x
_atom_site_fract_y
_atom_site_fract_z
La1 0.1820 0.7707 0.6432
La2 0.6820 0.1275 0.7707
La3 0.1820 0.3568 0.1275
La4 0.1820 0.8725 0.2293
La5 0.6820 0.6432 0.8725
La6 0.6820 0.2293 0.3568
Cu1 0.2056 0.0000 0.0000
Cu2 0.7056 0.0000 0.0000
Ge1 0.1005 0.3333 0.6667
Ge2 0.6005 0.6667 0.3333
S1 0.4503 0.8958 0.4793
S2 0.1949 0.1603 0.2493
S3 0.9503 0.1042 0.5207
S4 0.4765 0.3333 0.6667
S5 0.9503 0.4165 0.8958
S6 0.4503 0.5835 0.1042
S7 0.6949 0.8397 0.7507
S8 0.9503 0.4793 0.5835
S9 0.4503 0.5207 0.4165
S10 0.1949 0.7507 0.9110
S11 0.9765 0.6667 0.3333
S12 0.6949 0.2493 0.0890
S13 0.6949 0.9110 0.1603
S14 0.1949 0.0890 0.8397
```

Calculated values
- Magnetic moment: 0.0 μB/f.u.
- ΔE_f (raw): -1.7891 eV per atom
- Symmetry: P6_3 (173)
- Final energy: -21.0389 eV per atom

Entry 8:
First-principles (meta-GGA SCAN) data for a crystal of ZnAgNF2 relaxed with PBEsol, as listed in the Alexandria database.

```
data_ZnAgNF2
_space_group_name_H-M_alt 'P 1'
_space_group_IT_number 1
_space_group_name_Hall 'P 1'
_cell_length_a 3.8858
_cell_length_b 4.0340
_cell_length_c 4.0340
_cell_angle_alpha 90.00
_cell_angle_beta 90.00
_cell_angle_gamma 90.00
loop_
_atom_site_label
_atom_site_fract_x
_atom_site_fract_y
_atom_site_fract_z
Zn1 0.0000 0.0000 0.0000
N1 0.5000 0.0000 0.0000
Ag1 0.5000 0.5000 0.5000
F1 0.0000 0.0000 0.5000
F2 0.0000 0.5000 0.0000
```

Calculated values
- Magnetic moment: 2.0 μB/f.u.
- ΔE_f (raw): -0.5374 eV per atom
- Symmetry: P4/mmm (123)
- Final energy: -12.7881 eV per atom

Entry 9:
First-principles (meta-GGA SCAN) data for a crystal of Tc2MoW relaxed with PBEsol, as listed in the Alexandria database.

```
data_Tc2MoW
_space_group_name_H-M_alt 'P 1'
_space_group_IT_number 1
_space_group_name_Hall 'P 1'
_cell_length_a 3.9625
_cell_length_b 3.9625
_cell_length_c 4.7086
_cell_angle_alpha 114.88
_cell_angle_beta 114.88
_cell_angle_gamma 90.00
loop_
_atom_site_label
_atom_site_fract_x
_atom_site_fract_y
_atom_site_fract_z
Mo1 0.0000 0.0000 0.0000
Tc1 0.7500 0.2500 0.5000
Tc2 0.2500 0.7500 0.5000
W1 0.5000 0.5000 0.0000
```

Calculated values
- Formation energy from the elements: 0.220 eV per atom
- Magnetic moment: 0.0 μB/f.u.
- Symmetry: I4/mmm (139)
- Final energy: -43.4534 eV per atom

Entry 10:
First-principles (meta-GGA SCAN) data for a crystal of Ba4Ir relaxed with PBEsol, as listed in the Alexandria database.

```
data_Ba4Ir
_space_group_name_H-M_alt 'P 1'
_space_group_IT_number 1
_space_group_name_Hall 'P 1'
_cell_length_a 3.9048
_cell_length_b 7.7777
_cell_length_c 7.7777
_cell_angle_alpha 86.39
_cell_angle_beta 75.46
_cell_angle_gamma 75.46
loop_
_atom_site_label
_atom_site_fract_x
_atom_site_fract_y
_atom_site_fract_z
Ir1 0.0000 0.0000 0.0000
Ba1 0.5529 0.1812 0.7130
Ba2 0.7341 0.7130 0.8188
Ba3 0.4471 0.8188 0.2870
Ba4 0.2659 0.2870 0.1812
```

Calculated values
- Formation energy from the elements: -0.047 eV per atom
- Magnetic moment: 0.0 μB/f.u.
- Symmetry: I4/m (87)
- Final energy: -45.9070 eV per atom

Entry 11:
First-principles (meta-GGA SCAN) data for a crystal of ScCd2 relaxed with PBEsol, as listed in the Alexandria database.

```
data_ScCd2
_space_group_name_H-M_alt 'P 1'
_space_group_IT_number 1
_space_group_name_Hall 'P 1'
_cell_length_a 3.4441
_cell_length_b 4.9792
_cell_length_c 7.4590
_cell_angle_alpha 90.00
_cell_angle_beta 103.35
_cell_angle_gamma 90.00
loop_
_atom_site_label
_atom_site_fract_x
_atom_site_fract_y
_atom_site_fract_z
Sc1 0.4013 0.7500 0.8026
Sc2 0.5987 0.2500 0.1974
Cd1 0.7306 0.7500 0.4613
Cd2 0.9335 0.2500 0.8671
Cd3 0.0665 0.7500 0.1329
Cd4 0.2694 0.2500 0.5387
```

Calculated values
- Formation energy from the elements: -0.275 eV per atom
- Magnetic moment: 0.0 μB/f.u.
- Symmetry: Cmcm (63)
- Final energy: -25.2973 eV per atom

Entry 12:
First-principles (meta-GGA SCAN) data for a crystal of Sb2AsPd2 relaxed with PBEsol, as listed in the Alexandria database.

```
data_Sb2AsPd2
_space_group_name_H-M_alt 'P 1'
_space_group_IT_number 1
_space_group_name_Hall 'P 1'
_cell_length_a 3.6497
_cell_length_b 7.2976
_cell_length_c 7.2976
_cell_angle_alpha 90.00
_cell_angle_beta 90.00
_cell_angle_gamma 90.00
loop_
_atom_site_label
_atom_site_fract_x
_atom_site_fract_y
_atom_site_fract_z
Sb1 0.5000 0.1641 0.6641
Sb2 0.5000 0.6641 0.8359
Sb3 0.5000 0.8359 0.3359
Sb4 0.5000 0.3359 0.1641
As1 0.0000 0.0000 0.0000
As2 0.0000 0.5000 0.5000
Pd1 0.0000 0.3665 0.8665
Pd2 0.0000 0.8665 0.6335
Pd3 0.0000 0.6335 0.1335
Pd4 0.0000 0.1335 0.3665
```

Calculated values
- Magnetic moment: 0.0 μB/f.u.
- ΔE_f (raw): -0.0726 eV per atom
- Symmetry: P4/mbm (127)
- Final energy: -32.1247 eV per atom